DFT (PBE) results for a relaxed structure of Tl12CdPb7.

Properties
For the density of states at the Fermi level, the calculation gives 9.379 states/eV per cell. The energy above the most stable polymorph in this dataset comes out at 0 meV/atom. The calculation puts the calculated formation energy at 0.5 eV/f.u. The spin magnetization comes out at 0.0 μB/cell.

a b c (Å): 8.7170 8.7170 8.7170
angles (deg): 100.45 100.45 100.45
Positions (direct):
Tl1 0.0000 0.2607 0.7393
Tl2 0.0000 0.7393 0.2607
Tl3 0.1651 0.1651 0.4202
Tl4 0.1651 0.4202 0.1651
Tl5 0.2607 0.0000 0.7393
Tl6 0.2607 0.7393 0.0000
Tl7 0.4202 0.1651 0.1651
Tl8 0.5798 0.8349 0.8349
Tl9 0.7393 0.0000 0.2607
Tl10 0.7393 0.2607 0.0000
Tl11 0.8349 0.5798 0.8349
Tl12 0.8349 0.8349 0.5798
Cd1 0.5000 0.5000 0.5000
Pb1 0.0000 0.0000 0.0000
Pb2 0.1808 0.5964 0.5964
Pb3 0.4036 0.4036 0.8192
Pb4 0.4036 0.8192 0.4036
Pb5 0.5964 0.1808 0.5964
Pb6 0.5964 0.5964 0.1808
Pb7 0.8192 0.4036 0.4036